## Ta2FeOs (PBE-GGA)

Data for a relaxed structure of Ta2FeOs.

Cell: 3.2329 4.3012 4.4783 Å, 90.00 90.00 90.00°
Closest atoms and distances in Å follow each position.
Space group Pmmm (No. 47)
Inequivalent atoms, fractional coordinates:
Ta 0.0000 0.0000 0.0000  4 Os 2.69, 4 Ta 2.76
Ta 0.5000 0.0000 0.5000  4 Fe 2.69, 4 Ta 2.76
Fe 0.0000 0.5000 0.5000  4 Ta 2.69, 4 Os 2.76
Os 0.5000 0.5000 0.0000  4 Ta 2.69, 4 Fe 2.76

Calculated values
**E_form**: -63 meV per atom
**Energy above the lowest structure with this stoichiometry**: 200.2 meV per atom


## ThTaFeOs2 (PBE-GGA)

Data for a relaxed structure of ThTaFeOs2.

Cell: 4.1826 4.1826 11.1609 Å, 90.00 90.00 90.00°
Closest atoms and distances in Å follow each position.
Space group I-4m2 (No. 119)
Inequivalent atoms, fractional coordinates:
Th 0.0000 0.0000 0.0000  8 Os 3.22, 4 Ta 3.49, 4 Fe 3.49
Ta 0.0000 0.5000 0.7500  4 Os 2.58
Fe 0.0000 0.5000 0.2500  4 Os 2.58
Os 0.0000 0.0000 0.3858  1 Os 2.55, 2 Ta 2.58, 2 Fe 2.58

Calculated values
**E_form**: -80 meV per atom


## TaTiFeOs (PBE-GGA)

Data for a relaxed structure of TaTiFeOs.

Cell: 3.0891 3.0891 6.1672 Å, 90.00 90.00 90.00°
Closest atoms and distances in Å follow each position.
Space group P4mm (No. 99)
Inequivalent atoms, fractional coordinates:
Ta 0.0000 0.0000 0.0000  4 Fe 2.65, 4 Os 2.73, 1 Ti 2.96
Ti 0.0000 0.0000 0.5196  4 Fe 2.63, 4 Os 2.69
Fe 0.5000 0.5000 0.7563  4 Ti 2.63, 4 Ta 2.65
Os 0.5000 0.5000 0.2662  4 Ti 2.69, 4 Ta 2.73

Calculated values
**E_form**: -400 meV per atom


Spin magnetization? In order: 2.1; 6.3; 0.8 Bohr magnetons per cell.